Material: HfCrCdCl2
Method: DFT, GGA-PBE
State: relaxed

Calculated values
For the formation energy without anion corrections, the calculation gives 0.06 eV per atom. The calculation puts the uncorrected energy at -23.90 eV for the cell shown.

The structure in POSCAR format:
```
HfCrCdCl2
1.0
4.856 0.000 0.000
0.000 4.856 0.000
0.000 0.000 6.040
Hf Cr Cd Cl
1 1 1 2
Direct
0.000 0.000 0.000
0.500 0.500 0.500
0.000 0.000 0.500
0.000 0.500 0.000
0.500 0.000 0.000
```


Material: CrCdIn2Cl6
Method: DFT, GGA-PBE
State: relaxed

Calculated values
For the formation energy without anion corrections, the calculation gives -0.90 eV per atom. The calculation puts the uncorrected energy at -36.14 eV for the cell shown.

The structure in POSCAR format:
```
CrCdIn2Cl6
1.0
7.146 0.000 0.000
3.453 6.262 0.000
3.468 2.041 5.917
Cr Cd In Cl
1 1 2 6
Direct
0.000 0.000 0.000
0.500 0.500 0.500
0.241 0.238 0.239
0.759 0.762 0.761
0.185 0.294 0.768
0.237 0.813 0.707
0.293 0.769 0.188
0.707 0.231 0.812
0.763 0.187 0.293
0.815 0.706 0.232
```


Material: K2CrCdCl6
Method: DFT, GGA-PBE
State: relaxed

Calculated values
For the formation energy without anion corrections, the calculation gives -1.39 eV per atom. The calculation puts the uncorrected energy at -75.52 eV for the cell shown.

The structure in POSCAR format:
```
K2CrCdCl6
1.0
7.044 0.000 0.000
0.000 7.509 0.000
-6.893 0.000 10.075
K Cr Cd Cl
4 2 2 12
Direct
0.228 0.072 0.249
0.228 0.428 0.749
0.772 0.572 0.251
0.772 0.928 0.751
0.500 0.000 0.000
0.500 0.500 0.500
0.000 0.000 0.500
0.000 0.500 0.000
0.185 0.183 0.962
0.185 0.317 0.462
0.248 0.691 0.960
0.248 0.809 0.460
0.347 0.007 0.767
0.347 0.493 0.267
0.653 0.507 0.733
0.653 0.993 0.233
0.752 0.191 0.540
0.752 0.309 0.040
0.815 0.683 0.538
0.815 0.817 0.038
```


Material: KCrCdCl6
Method: DFT, GGA-PBE
State: relaxed

Calculated values
For the formation energy without anion corrections, the calculation gives -1.31 eV per atom. The calculation puts the uncorrected energy at -69.00 eV for the cell shown.

The structure in POSCAR format:
```
KCrCdCl6
1.0
6.615 0.000 0.000
-3.308 5.729 0.000
0.000 0.000 13.685
K Cr Cd Cl
2 2 2 12
Direct
0.000 0.000 0.000
0.000 0.000 0.500
0.333 0.667 0.250
0.667 0.333 0.750
0.333 0.667 0.750
0.667 0.333 0.250
0.033 0.387 0.148
0.033 0.647 0.352
0.353 0.387 0.352
0.353 0.967 0.148
0.387 0.033 0.648
0.387 0.353 0.852
0.613 0.647 0.148
0.613 0.967 0.352
0.647 0.033 0.852
0.647 0.613 0.648
0.967 0.353 0.648
0.967 0.613 0.852
```


Material: K3Cr2CdCl9
Method: DFT, GGA-PBE
State: relaxed

Calculated values
For the formation energy without anion corrections, the calculation gives -1.38 eV per atom. The calculation puts the uncorrected energy at -60.72 eV for the cell shown.

The structure in POSCAR format:
```
K3Cr2CdCl9
1.0
7.157 0.000 0.000
-3.578 6.198 0.000
0.000 0.000 8.789
K Cr Cd Cl
3 2 1 9
Direct
0.000 0.000 0.000
0.333 0.667 0.667
0.667 0.333 0.333
0.333 0.667 0.158
0.667 0.333 0.842
0.000 0.000 0.500
0.000 0.500 0.000
0.172 0.344 0.323
0.172 0.828 0.323
0.344 0.172 0.677
0.500 0.000 0.000
0.500 0.500 0.000
0.656 0.828 0.323
0.828 0.172 0.677
0.828 0.656 0.677
```


Material: KCr2CdCl8
Method: DFT, GGA-PBE
State: relaxed

Calculated values
For the formation energy without anion corrections, the calculation gives -1.11 eV per atom. The calculation puts the uncorrected energy at -49.39 eV for the cell shown.

The structure in POSCAR format:
```
KCr2CdCl8
1.0
6.161 0.000 0.000
0.000 7.702 0.000
-0.413 0.000 6.351
K Cr Cd Cl
1 2 1 8
Direct
0.000 0.000 0.000
0.500 0.257 0.500
0.500 0.743 0.500
0.000 0.500 0.000
0.272 0.273 0.184
0.272 0.727 0.184
0.284 0.500 0.642
0.299 0.000 0.627
0.701 0.000 0.373
0.716 0.500 0.358
0.728 0.273 0.816
0.728 0.727 0.816
```


Material: LaCrCd2Cl
Method: DFT, GGA-PBE
State: relaxed

Calculated values
For the formation energy without anion corrections, the calculation gives 0.40 eV per atom. The calculation puts the uncorrected energy at -16.21 eV for the cell shown.

The structure in POSCAR format:
```
LaCrCd2Cl
1.0
6.360 0.000 0.000
0.000 6.360 0.000
0.000 0.000 5.386
La Cr Cd Cl
1 1 2 1
Direct
0.000 0.000 0.000
0.500 0.500 0.500
0.000 0.500 0.000
0.500 0.000 0.000
0.000 0.000 0.500
```


Material: Li2CrCdCl6
Method: DFT, GGA-PBE
State: relaxed

Calculated values
For the formation energy without anion corrections, the calculation gives -1.29 eV per atom. The calculation puts the uncorrected energy at -38.32 eV for the cell shown.

The structure in POSCAR format:
```
Li2CrCdCl6
1.0
3.226 1.863 5.921
-3.226 1.863 5.921
0.000 -3.725 5.921
Li Cr Cd Cl
2 1 1 6
Direct
0.000 0.000 0.000
0.491 0.491 0.491
0.685 0.685 0.685
0.192 0.192 0.192
0.080 0.776 0.421
0.288 0.607 0.897
0.421 0.080 0.776
0.607 0.897 0.288
0.776 0.421 0.080
0.897 0.288 0.607
```